Entry 1:
First-principles (PBE-GGA) data for an optimized crystal structure of Mn2SiSb, as listed in the Alexandria database.

Cell and atoms, written as POSCAR:
```
Mn2SiSb
1.0
2.923 0.000 0.000
0.000 3.023 0.000
0.000 0.000 7.239
Mn Si Sb
2 1 1
Cartesian
0.000 0.000 1.281
0.000 0.000 5.958
1.462 1.511 0.000
1.462 0.000 3.620
```

E above lowest polymorph: 0.053 eV/atom
space-group type: Pmmm
density of states at the Fermi level: 2.927 states/eV/f.u.

=====

Entry 2:
First-principles (PBE-GGA) data for an optimized crystal structure of Mn2SiSb, as listed in the Alexandria database.

Cell and atoms, written as POSCAR:
```
Mn2SiSb
1.0
2.989 0.000 0.000
0.000 2.989 0.000
0.000 0.000 6.142
Mn Si Sb
2 1 1
Cartesian
0.000 0.000 1.301
0.000 0.000 4.841
1.494 1.494 0.000
1.494 1.494 3.071
```

E above lowest polymorph: 0.116 eV/atom
space-group type: P4/mmm
density of states at the Fermi level: 2.553 states/eV/f.u.

=====

Entry 3:
First-principles (PBE-GGA) data for an optimized crystal structure of Mn3SiSb, as listed in the Alexandria database.

Cell and atoms, written as POSCAR:
```
Mn3SiSb
1.0
4.481 0.000 0.000
0.000 4.481 0.000
0.000 0.000 4.481
Mn Si Sb
3 1 1
Cartesian
0.000 0.000 2.241
0.000 2.241 0.000
2.241 0.000 0.000
0.000 0.000 0.000
2.241 2.241 2.241
```

E above lowest polymorph: 0.000 eV/atom
space-group type: Pm-3m
density of states at the Fermi level: 4.014 states/eV/f.u.

=====

Entry 4:
First-principles (PBE-GGA) data for an optimized crystal structure of Mn2SiSb, as listed in the Alexandria database.

Cell and atoms, written as POSCAR:
```
Mn2SiSb
1.0
4.292 0.000 0.000
0.000 3.220 0.000
-1.751 0.000 4.411
Mn Si Sb
2 1 1
Cartesian
0.000 0.000 0.000
-0.876 1.610 2.205
1.270 0.000 2.205
2.146 1.610 0.000
```

E above lowest polymorph: 0.217 eV/atom
space-group type: P2/m
density of states at the Fermi level: 2.667 states/eV/f.u.

=====

Entry 5:
First-principles (PBE-GGA) data for an optimized crystal structure of Mn2SiSb, as listed in the Alexandria database.

Cell and atoms, written as POSCAR:
```
Mn2SiSb
1.0
3.735 0.000 0.000
0.000 2.947 0.000
0.000 0.000 12.073
Mn Si Sb
4 2 2
Cartesian
0.000 0.000 0.000
0.000 1.474 6.037
1.867 0.000 2.013
1.867 1.474 8.049
1.867 0.000 6.124
1.867 1.474 0.087
0.000 0.000 9.395
0.000 1.474 3.358
```

E above lowest polymorph: 0.045 eV/atom
space-group type: Amm2
density of states at the Fermi level: 2.279 states/eV/f.u.

=====

Entry 6:
First-principles (PBE-GGA) data for an optimized crystal structure of Mn2SiSb, as listed in the Alexandria database.

Cell and atoms, written as POSCAR:
```
Mn2SiSb
1.0
3.825 0.000 0.000
0.000 3.825 0.000
0.000 0.000 8.502
Mn Si Sb
4 2 2
Cartesian
0.000 0.000 0.000
0.000 1.912 2.126
1.912 0.000 6.377
1.912 1.912 4.251
0.000 0.000 4.251
1.912 1.912 0.000
0.000 1.912 6.377
1.912 0.000 2.126
```

E above lowest polymorph: 0.179 eV/atom
space-group type: I-4m2
density of states at the Fermi level: 3.246 states/eV/f.u.

=====

Entry 7:
First-principles (PBE-GGA) data for an optimized crystal structure of Mn2SiSb, as listed in the Alexandria database.

Cell and atoms, written as POSCAR:
```
Mn2SiSb
1.0
5.984 0.000 0.000
0.000 5.984 0.000
0.000 0.000 5.984
Mn Si Sb
8 4 4
Cartesian
1.496 1.496 1.496
1.496 1.496 4.488
1.496 4.488 1.496
1.496 4.488 4.488
4.488 1.496 1.496
4.488 1.496 4.488
4.488 4.488 1.496
4.488 4.488 4.488
0.000 0.000 0.000
0.000 2.992 2.992
2.992 0.000 2.992
2.992 2.992 0.000
0.000 0.000 2.992
0.000 2.992 0.000
2.992 0.000 0.000
2.992 2.992 2.992
```

E above lowest polymorph: 0.139 eV/atom
space-group type: Fm-3m
density of states at the Fermi level: 3.030 states/eV/f.u.

=====

Entry 8:
First-principles (PBE-GGA) data for an optimized crystal structure of MnSiSb, as listed in the Alexandria database.

Cell and atoms, written as POSCAR:
```
MnSiSb
1.0
6.012 0.000 0.000
0.000 6.012 0.000
0.000 0.000 6.012
Mn Si Sb
4 4 4
Cartesian
0.000 0.000 0.000
0.000 3.006 3.006
3.006 0.000 3.006
3.006 3.006 0.000
1.503 1.503 4.509
1.503 4.509 1.503
4.509 1.503 1.503
4.509 4.509 4.509
1.503 1.503 1.503
1.503 4.509 4.509
4.509 1.503 4.509
4.509 4.509 1.503
```

E above lowest polymorph: 0.000 eV/atom
space-group type: F-43m
density of states at the Fermi level: 2.155 states/eV/f.u.

=====

Entry 9:
First-principles (PBE-GGA) data for an optimized crystal structure of Mn2SiSb, as listed in the Alexandria database.

Cell and atoms, written as POSCAR:
```
Mn2SiSb
1.0
4.213 0.000 0.000
0.000 4.213 0.000
0.000 0.000 3.032
Mn Si Sb
2 1 1
Cartesian
0.000 2.106 0.000
2.106 0.000 0.000
0.000 0.000 1.516
2.106 2.106 1.516
```

E above lowest polymorph: 0.170 eV/atom
space-group type: P4/mmm
density of states at the Fermi level: 4.315 states/eV/f.u.

=====

Entry 10:
First-principles (PBE-GGA) data for an optimized crystal structure of TaMn2SiSb, as listed in the Alexandria database.

Cell and atoms, written as POSCAR:
```
TaMn2SiSb
1.0
4.550 0.000 0.000
0.000 4.550 0.000
0.000 0.000 5.119
Ta Mn Si Sb
1 2 1 1
Cartesian
0.000 0.000 0.000
0.000 2.275 2.559
2.275 0.000 2.559
2.275 2.275 0.000
0.000 0.000 2.559
```

space-group type: P4/mmm
density of states at the Fermi level: 14.203 states/eV/f.u.
DFT total energy: -6.013 eV per atom

=====

Entry 11:
First-principles (PBE-GGA) data for an optimized crystal structure of SmMnSb3, as listed in the Alexandria database.

Cell and atoms, written as POSCAR:
```
SmMnSb3
1.0
12.947 0.000 0.000
0.000 6.248 0.000
0.000 0.000 6.059
Sm Mn Sb
4 4 12
Cartesian
2.458 0.023 1.515
2.458 3.100 4.544
10.489 3.147 1.515
10.489 6.224 4.544
5.266 4.686 0.000
5.266 4.686 3.030
7.680 1.562 0.000
7.680 1.562 3.030
0.026 4.686 0.000
0.026 4.686 3.030
3.573 3.135 1.515
3.573 6.236 4.544
5.645 0.645 1.515
5.645 2.479 4.544
7.302 3.769 1.515
7.302 5.603 4.544
9.373 0.011 1.515
9.373 3.112 4.544
12.921 1.562 0.000
12.921 1.562 3.030
```

space-group type: Pbcm
density of states at the Fermi level: 2.247 states/eV/f.u.
DFT total energy: -5.752 eV per atom

=====

Entry 12:
First-principles (PBE-GGA) data for an optimized crystal structure of Mn2SnSb, as listed in the Alexandria database.

Cell and atoms, written as POSCAR:
```
Mn2SnSb
1.0
6.331 0.000 0.000
0.000 6.331 0.000
0.000 0.000 6.331
Mn Sn Sb
8 4 4
Cartesian
1.583 1.583 1.583
1.583 1.583 4.748
1.583 4.748 1.583
1.583 4.748 4.748
4.748 1.583 1.583
4.748 1.583 4.748
4.748 4.748 1.583
4.748 4.748 4.748
0.000 0.000 0.000
0.000 3.166 3.166
3.166 0.000 3.166
3.166 3.166 0.000
0.000 0.000 3.166
0.000 3.166 0.000
3.166 0.000 0.000
3.166 3.166 3.166
```

space-group type: Fm-3m
density of states at the Fermi level: 4.355 states/eV/f.u.
DFT total energy: -6.191 eV per atom